# Cs2K4Au, relaxed, DFT PBE
data_Cs2K4Au
_chemical_formula_sum 'Cs4 K8 Au2'
_cell_length_a 6.6334
_cell_length_b 6.6334
_cell_length_c 24.6815
_cell_angle_alpha 90.00
_cell_angle_beta 90.00
_cell_angle_gamma 90.00
_space_group_name_H-M_alt 'I 4/m m m'
_space_group_IT_number 139
_space_group_name_Hall '-I 4 2'
loop_
_atom_site_label
_atom_site_type_symbol
_atom_site_fract_x
_atom_site_fract_y
_atom_site_fract_z
Cs1 Cs 0.0000 0.0000 0.1720
K1 K 0.0000 0.0000 0.3684
K2 K 0.0000 0.5000 0.0000
Au1 Au 0.0000 0.0000 0.5000
# magnetic moment	0.00	μB/atom
# electronic total energy	-1.404	eV/atom
# E_form	-0.065	eV/atom

=====

# Cs4KAu, relaxed, DFT PBE
data_Cs4KAu
_chemical_formula_sum 'Cs16 K4 Au4'
_cell_length_a 12.7689
_cell_length_b 17.5170
_cell_length_c 8.7956
_cell_angle_alpha 90.00
_cell_angle_beta 107.38
_cell_angle_gamma 90.00
_space_group_name_H-M_alt 'C 1 2/c 1'
_space_group_IT_number 15
_space_group_name_Hall '-C 2yc'
loop_
_atom_site_label
_atom_site_type_symbol
_atom_site_fract_x
_atom_site_fract_y
_atom_site_fract_z
Cs1 Cs 0.0994 0.1544 0.0500
Cs2 Cs 0.2451 0.4121 0.3832
K1 K 0.0000 0.3841 0.7500
Au1 Au 0.0000 0.0021 0.7500
# magnetic moment	0.00	μB/atom
# electronic total energy	-1.398	eV/atom
# E_form	-0.100	eV/atom

=====

# Cs5KAu, relaxed, DFT PBE
data_Cs5KAu
_chemical_formula_sum 'Cs20 K4 Au4'
_cell_length_a 17.1709
_cell_length_b 10.2358
_cell_length_c 15.4200
_cell_angle_alpha 90.00
_cell_angle_beta 114.79
_cell_angle_gamma 90.00
_space_group_name_H-M_alt 'C 1 2/c 1'
_space_group_IT_number 15
_space_group_name_Hall '-C 2yc'
loop_
_atom_site_label
_atom_site_type_symbol
_atom_site_fract_x
_atom_site_fract_y
_atom_site_fract_z
Cs1 Cs 0.0000 0.0137 0.2500
Cs2 Cs 0.1331 0.2841 0.0513
Cs3 Cs 0.1813 0.2080 0.6057
K1 K 0.0000 0.4969 0.2500
Au1 Au 0.0000 0.0000 0.0000
# magnetic moment	0.00	μB/atom
# electronic total energy	-1.325	eV/atom
# E_form	-0.090	eV/atom